Record 1
Entry from Alexandria via LeMat-Bulk: crystalline SmErHgPt at its relaxed geometry (PBE).

Summary:
V = 23.79 Å³ per atom
formation enthalpy at 0 K = -3.2 eV per formula unit
SG = F-43m, No. 216
magnetization = 0.0 μB/cell
DFT total energy = -4.69 eV per atom

Geometry as POSCAR:
```
SmErHgPt
1.0
-3.052 0.080 -4.116
1.124 -2.890 -4.080
-2.891 -4.079 -1.125
Hg Sm Er Pt
1 1 1 1
Cartesian
-1.205 -1.722 -2.330
-2.410 -3.444 -4.660
0.000 0.000 0.000
-3.615 -5.167 -6.990
```

=====

Record 2
Entry from Alexandria via LeMat-Bulk: crystalline SrErHgPt at its relaxed geometry (PBE).

Summary:
V = 24.90 Å³ per atom
formation enthalpy at 0 K = -2.5 eV per formula unit
SG = F-43m, No. 216
magnetization = 0.0 μB/cell
DFT total energy = -3.78 eV per atom

Geometry as POSCAR:
```
SrErHgPt
1.0
-1.210 2.331 4.492
-4.955 0.204 1.573
-1.557 -2.844 4.070
Hg Er Sr Pt
1 1 1 1
Cartesian
-1.930 -0.077 2.534
-3.861 -0.155 5.067
0.000 0.000 0.000
-5.791 -0.232 7.601
```

=====

Record 3
Entry from Alexandria via LeMat-Bulk: crystalline ErTlHgPt at its relaxed geometry (PBE).

Summary:
V = 22.22 Å³ per atom
formation enthalpy at 0 K = -1.9 eV per formula unit
SG = F-43m, No. 216
magnetization = 0.0 μB/cell
DFT total energy = -3.78 eV per atom

Geometry as POSCAR:
```
ErTlHgPt
1.0
5.009 0.000 0.000
2.505 4.338 0.000
2.505 1.446 4.090
Hg Er Tl Pt
1 1 1 1
Cartesian
7.514 4.338 3.068
0.000 0.000 0.000
5.009 2.892 2.045
2.505 1.446 1.023
```

=====

Record 4
Entry from Alexandria via LeMat-Bulk: crystalline ErTmHgPt at its relaxed geometry (PBE).

Summary:
V = 22.80 Å³ per atom
formation enthalpy at 0 K = -3.6 eV per formula unit
SG = P4mm, No. 99
magnetization = 0.0 μB/cell
DFT total energy = -4.74 eV per atom
energy relative to the lowest polymorph listed for this composition = 0.000 eV per atom

Geometry as POSCAR:
```
ErTmHgPt
1.0
-1.245 1.352 3.019
2.132 -2.138 1.837
5.225 5.099 -0.128
Pt Tm Hg Er
1 1 1 1
Cartesian
1.854 1.809 -0.046
1.133 0.280 2.411
4.488 4.379 -0.110
3.485 2.575 2.353
```

=====

Record 5
Entry from Alexandria via LeMat-Bulk: crystalline ErTmHgPt at its relaxed geometry (PBE).

Summary:
V = 22.60 Å³ per atom
formation enthalpy at 0 K = -3.4 eV per formula unit
SG = F-43m, No. 216
magnetization = 0.0 μB/cell
DFT total energy = -4.69 eV per atom
energy relative to the lowest polymorph listed for this composition = 0.042 eV per atom

Geometry as POSCAR:
```
ErTmHgPt
1.0
-0.442 -0.095 -5.018
3.543 -2.235 -2.799
-1.015 -4.335 -2.358
Hg Tm Pt Er
1 1 1 1
Cartesian
0.521 -1.666 -2.544
1.043 -3.332 -5.087
1.564 -4.998 -7.631
0.000 0.000 0.000
```

=====

Record 6
Entry from Alexandria via LeMat-Bulk: crystalline ErZrHgPt at its relaxed geometry (PBE).

Summary:
V = 21.46 Å³ per atom
formation enthalpy at 0 K = -2.4 eV per formula unit
SG = F-43m, No. 216
magnetization = 0.0 μB/cell
DFT total energy = -5.47 eV per atom

Geometry as POSCAR:
```
ErZrHgPt
1.0
-3.474 2.790 -2.160
-0.062 0.503 -4.926
-3.588 -2.135 -2.662
Pt Hg Er Zr
1 1 1 1
Cartesian
-5.343 0.869 -7.310
-1.781 0.290 -2.437
0.000 0.000 0.000
-3.562 0.579 -4.874
```

=====

Record 7
Entry from Alexandria via LeMat-Bulk: crystalline ErPuHg6 at its relaxed geometry (PBE).

Summary:
V = 24.43 Å³ per atom
formation enthalpy at 0 K = -1.8 eV per formula unit
SG = Amm2, No. 38
magnetization = 6.0 μB/cell
DFT total energy = -2.81 eV per atom

Geometry as POSCAR:
```
ErPuHg6
1.0
5.081 0.000 0.000
0.000 6.660 -0.213
0.000 -3.140 5.877
Pu Hg Er
1 6 1
Cartesian
2.540 0.937 3.344
0.000 2.587 2.318
0.000 -0.770 2.419
0.000 1.010 5.283
2.540 5.856 0.286
2.540 4.269 3.242
2.540 2.503 0.400
0.000 -2.316 5.365
```

=====

Record 8
Entry from Alexandria via LeMat-Bulk: crystalline Er2PuHg6 at its relaxed geometry (PBE).

Summary:
V = 25.05 Å³ per atom
formation enthalpy at 0 K = -2.5 eV per formula unit
SG = C2/c, No. 15
magnetization = 11.5 μB/cell
DFT total energy = -3.09 eV per atom

Geometry as POSCAR:
```
Er2PuHg6
1.0
5.404 0.157 0.559
0.735 8.954 2.332
0.289 -0.390 9.269
Hg Er Pu
12 4 2
Cartesian
2.203 6.802 2.061
4.575 -0.042 7.480
5.761 3.756 7.826
3.168 5.967 5.846
2.794 7.851 8.307
3.260 2.753 6.314
5.384 5.590 10.323
1.043 3.131 1.837
1.853 8.762 4.680
4.224 1.919 10.098
0.667 4.965 4.334
3.634 0.870 3.853
2.861 4.590 8.822
0.752 1.705 4.801
5.676 7.016 7.359
3.566 4.131 3.338
4.734 7.944 3.588
1.694 0.777 8.571
```